KSmTlCd: relaxed, GGA-PBE.

extended XYZ file:
```
4
Lattice="5.5946 0.0000 0.0000 2.7973 4.8451 0.0000 2.7973 1.6150 4.5680" Properties=species:S:1:pos:R:3 pbc="T T T"
Tl 2.7973 1.6150 1.1420
K 0.0000 0.0000 0.0000
Cd 8.3919 4.8451 3.4260
Sm 5.5946 3.2301 2.2840
```

## Properties
**Density of states at the Fermi level**: 4.62 states/eV/cell
**Spin magnetization**: 0.0 μB/f.u.
**Total DFT energy (no corrections)**: -2.32 eV/atom
**ΔH_f (0 K)**: -0.05 eV/atom